# LuPu2P | Alexandria | PBE | relaxed
# * ΔE_f: -0.319 eV per atom
# * DOS(E_F): 3.25 states/eV/atom
data_LuPu2P
_cell_length_a 3.6254
_cell_length_b 3.6254
_cell_length_c 28.2889
_cell_angle_alpha 90.00
_cell_angle_beta 90.00
_cell_angle_gamma 120.00
_space_group_name_H-M_alt 'R -3 m'
_space_group_IT_number 166
_space_group_name_Hall '-R 3 2"'
loop_
_atom_site_label
_atom_site_type_symbol
_atom_site_fract_x
_atom_site_fract_y
_atom_site_fract_z
Lu1 Lu 0.0000 0.0000 0.0000
Pu1 Pu 0.0000 0.0000 0.2302
P1 P 0.0000 0.0000 0.5000



# LuReP2 | Alexandria | PBE | relaxed
# * ΔE_f: -0.074 eV per atom
# * DOS(E_F): 0.76 states/eV/atom
data_LuReP2
_cell_length_a 3.1871
_cell_length_b 3.1871
_cell_length_c 26.2940
_cell_angle_alpha 90.00
_cell_angle_beta 90.00
_cell_angle_gamma 120.00
_space_group_name_H-M_alt 'R -3 m'
_space_group_IT_number 166
_space_group_name_Hall '-R 3 2"'
loop_
_atom_site_label
_atom_site_type_symbol
_atom_site_fract_x
_atom_site_fract_y
_atom_site_fract_z
Lu1 Lu 0.0000 0.0000 0.0000
Re1 Re 0.0000 0.0000 0.5000
P1 P 0.0000 0.0000 0.1052



# LuPRh3 | Alexandria | PBE | relaxed
# * ΔE_f: -0.689 eV per atom
# * DOS(E_F): 1.05 states/eV/atom
data_LuPRh3
_cell_length_a 4.424
_cell_length_b 4.424
_cell_length_c 4.424
_cell_angle_alpha 90.00
_cell_angle_beta 90.00
_cell_angle_gamma 90.00
_space_group_name_H-M_alt 'P m -3 m'
_space_group_IT_number 221
_space_group_name_Hall '-P 4 2 3'
loop_
_atom_site_label
_atom_site_type_symbol
_atom_site_fract_x
_atom_site_fract_y
_atom_site_fract_z
Lu1 Lu 0.000 0.000 0.000
P1 P 0.500 0.500 0.500
Rh1 Rh 0.000 0.500 0.500



# Lu2PRu | Alexandria | PBE | relaxed
# * ΔE_f: -0.812 eV per atom
# * DOS(E_F): 0.70 states/eV/atom
data_Lu2PRu
_cell_length_a 3.451
_cell_length_b 3.451
_cell_length_c 6.336
_cell_angle_alpha 90.00
_cell_angle_beta 90.00
_cell_angle_gamma 90.00
_space_group_name_H-M_alt 'P 4/m m m'
_space_group_IT_number 123
_space_group_name_Hall '-P 4 2'
loop_
_atom_site_label
_atom_site_type_symbol
_atom_site_fract_x
_atom_site_fract_y
_atom_site_fract_z
Lu1 Lu 0.000 0.000 0.246
P1 P 0.500 0.500 0.000
Ru1 Ru 0.500 0.500 0.500



# LuPRu | Alexandria | PBE | relaxed
# * ΔE_f: -0.890 eV per atom
# * DOS(E_F): 0.91 states/eV/atom
data_LuPRu
_cell_length_a 3.9944
_cell_length_b 3.9944
_cell_length_c 3.9260
_cell_angle_alpha 90.00
_cell_angle_beta 90.00
_cell_angle_gamma 120.00
_space_group_name_H-M_alt 'P -6 m 2'
_space_group_IT_number 187
_space_group_name_Hall 'P -6 2'
loop_
_atom_site_label
_atom_site_type_symbol
_atom_site_fract_x
_atom_site_fract_y
_atom_site_fract_z
Lu1 Lu 0.0000 0.0000 0.0000
P1 P 0.3333 0.6667 0.5000
Ru1 Ru 0.6667 0.3333 0.5000



# LuPS4 | Alexandria | PBE | relaxed
# * formation energy (no corrections): -6.11 eV per formula unit
# * DOS(E_F): 0.00 states/eV/atom
data_LuPS4
_cell_length_a 8.873
_cell_length_b 6.514
_cell_length_c 12.554
_cell_angle_alpha 90.00
_cell_angle_beta 119.94
_cell_angle_gamma 90.00
_space_group_name_H-M_alt 'P 1 21/c 1'
_space_group_IT_number 14
_space_group_name_Hall '-P 2ybc'
loop_
_atom_site_label
_atom_site_type_symbol
_atom_site_fract_x
_atom_site_fract_y
_atom_site_fract_z
Lu1 Lu 0.053 0.178 0.164
P1 P 0.179 0.230 0.459
S1 S 0.078 0.728 0.587
S2 S 0.210 0.538 0.883
S3 S 0.229 0.050 0.862
S4 S 0.333 0.245 0.642



# Lu2PS | Alexandria | PBE | relaxed
# * formation energy (no corrections): -7.21 eV per formula unit
# * DOS(E_F): 0.38 states/eV/atom
data_Lu2PS
_cell_length_a 3.8662
_cell_length_b 3.8662
_cell_length_c 18.9776
_cell_angle_alpha 90.00
_cell_angle_beta 90.00
_cell_angle_gamma 120.00
_space_group_name_H-M_alt 'R -3 m'
_space_group_IT_number 166
_space_group_name_Hall '-R 3 2"'
loop_
_atom_site_label
_atom_site_type_symbol
_atom_site_fract_x
_atom_site_fract_y
_atom_site_fract_z
Lu1 Lu 0.0000 0.0000 0.2467
P1 P 0.0000 0.0000 0.5000
S1 S 0.0000 0.0000 0.0000



# LuScP | Alexandria | PBE | relaxed
# * ΔE_f: -0.918 eV per atom
# * DOS(E_F): 0.91 states/eV/atom
data_LuScP
_cell_length_a 3.7346
_cell_length_b 3.7346
_cell_length_c 5.9599
_cell_angle_alpha 90.00
_cell_angle_beta 90.00
_cell_angle_gamma 120.00
_space_group_name_H-M_alt 'P 3 m 1'
_space_group_IT_number 156
_space_group_name_Hall 'P 3 -2"'
loop_
_atom_site_label
_atom_site_type_symbol
_atom_site_fract_x
_atom_site_fract_y
_atom_site_fract_z
Lu1 Lu 0.0000 0.0000 0.0000
Sc1 Sc 0.3333 0.6667 0.5097
P1 P 0.6667 0.3333 0.2720



Which value of DOS(E_F) does entry 2 give? 0.76 states/eV/atom



Copy entry 5 word for word.
# LuPRu | Alexandria | PBE | relaxed
# * ΔE_f: -0.890 eV per atom
# * DOS(E_F): 0.91 states/eV/atom
data_LuPRu
_cell_length_a 3.9944
_cell_length_b 3.9944
_cell_length_c 3.9260
_cell_angle_alpha 90.00
_cell_angle_beta 90.00
_cell_angle_gamma 120.00
_space_group_name_H-M_alt 'P -6 m 2'
_space_group_IT_number 187
_space_group_name_Hall 'P -6 2'
loop_
_atom_site_label
_atom_site_type_symbol
_atom_site_fract_x
_atom_site_fract_y
_atom_site_fract_z
Lu1 Lu 0.0000 0.0000 0.0000
P1 P 0.3333 0.6667 0.5000
Ru1 Ru 0.6667 0.3333 0.5000



The lowest DOS(E_F) belongs to which entry? LuPS4



What is the DOS(E_F) in the sixth record? 0.00 states/eV/atom